No. 1
First-principles (PBE-GGA) data for a relaxed Tb3Dy2Er6Zr crystal, as listed in the Alexandria database.

Results
**E_tot**: -58.52 eV/cell
**Symmetry**: C2/m (12)

a = 6.053 Å, b = 6.053 Å, c = 11.562 Å
α = 94.99°, β = 94.99°, γ = 119.93°
Positions (direct):
Tb1 0.166 0.834 0.500
Tb2 0.834 0.166 0.500
Tb3 0.500 0.500 0.500
Dy1 0.333 0.667 0.000
Dy2 0.667 0.333 0.000
Er1 0.919 0.592 0.756
Er2 0.755 0.755 0.244
Er3 0.081 0.408 0.244
Er4 0.592 0.919 0.756
Er5 0.245 0.245 0.756
Er6 0.408 0.081 0.244
Zr1 0.000 0.000 0.000

No. 2
First-principles (PBE-GGA) data for a relaxed Rb3BiF crystal, as listed in the Alexandria database.

Results
**E_tot**: -28.89 eV/cell
**Energy relative to the elements, uncorrected**: -1.158 eV/atom
**Symmetry**: C2/m (12)
**Energy relative to the lowest polymorph listed for this composition**: 54 meV per atom

a = 4.733 Å, b = 7.974 Å, c = 11.832 Å
α = 77.72°, β = 90.01°, γ = 72.76°
Positions (direct):
Rb1 0.222 0.124 0.326
Rb2 0.506 0.555 0.141
Rb3 0.182 0.205 0.918
Rb4 0.689 0.191 0.628
Rb5 0.466 0.636 0.733
Rb6 0.000 0.569 0.431
Bi1 0.811 0.947 0.141
Bi2 0.877 0.814 0.918
F1 0.086 0.398 0.668
F2 0.603 0.362 0.391

No. 3
First-principles (PBE-GGA) data for a relaxed SrZrNi crystal, as listed in the Alexandria database.

Results
**E_tot**: -11.85 eV/cell
**Symmetry**: F-43m (216)
**Energy relative to the lowest polymorph listed for this composition**: 1341 meV per atom

a = 4.694 Å, b = 4.694 Å, c = 4.694 Å
α = 60.00°, β = 60.00°, γ = 60.00°
Positions (direct):
Ni1 0.500 0.500 0.500
Sr1 0.750 0.750 0.750
Zr1 0.000 0.000 0.000

No. 4
First-principles (PBE-GGA) data for a relaxed TbPmRu crystal, as listed in the Alexandria database.

Results
**E_tot**: -19.41 eV/cell
**Symmetry**: I4mm (107)
**Energy relative to the lowest polymorph listed for this composition**: 0 meV per atom

a = 3.445 Å, b = 3.445 Å, c = 7.100 Å
α = 104.04°, β = 104.04°, γ = 90.00°
Positions (direct):
Ru1 0.664 0.664 0.328
Tb1 0.042 0.042 0.085
Pm1 0.294 0.294 0.588

No. 5
First-principles (PBE-GGA) data for a relaxed Zn2MoBr crystal, as listed in the Alexandria database.

Results
**E_tot**: -14.01 eV/cell
**Energy relative to the elements, uncorrected**: 0.260 eV/atom
**Symmetry**: Cm (8)
**Energy relative to the lowest polymorph listed for this composition**: 31 meV per atom

a = 4.757 Å, b = 4.757 Å, c = 6.565 Å
α = 79.10°, β = 79.10°, γ = 37.42°
Positions (direct):
Br1 0.619 0.619 0.475
Mo1 0.211 0.211 0.160
Zn1 0.957 0.957 0.029
Zn2 0.714 0.714 0.836

No. 6
First-principles (PBE-GGA) data for a relaxed HfHg2PtBr crystal, as listed in the Alexandria database.

Results
**E_tot**: -16.23 eV/cell
**Energy relative to the elements, uncorrected**: 0.409 eV/atom
**Symmetry**: P4/mmm (123)

a = 5.760 Å, b = 4.912 Å, c = 5.760 Å
α = 90.00°, β = 90.00°, γ = 90.00°
Positions (direct):
Br1 0.500 0.500 0.500
Hf1 0.000 0.000 0.000
Hg1 0.000 0.000 0.500
Hg2 0.500 0.000 0.000
Pt1 0.000 0.500 0.000